No. 1
A geometry-optimized Zn2FeSb structure. Source: Alexandria, functional PBE.

Values from the calculation:
Space-group type ... R-3m, No. 166
Raw total energy ... -0.1259 hartree per atom
Raw formation energy ... 0.358 eV per atom

The structure in CIF format:
```
data_Zn2FeSb
_cell_length_a 8.695
_cell_length_b 8.695
_cell_length_c 8.695
_cell_angle_alpha 20.70
_cell_angle_beta 20.70
_cell_angle_gamma 20.70
_symmetry_space_group_name_H-M 'P 1'
_symmetry_Int_Tables_number 1
loop_
_symmetry_equiv_pos_as_xyz
'x,y,z'
loop_
_atom_site_label
_atom_site_fract_x
_atom_site_fract_y
_atom_site_fract_z
Sb1 0.750 0.750 0.750
Zn1 0.990 0.990 0.990
Fe1 0.250 0.250 0.250
Zn2 0.510 0.510 0.510
```

***

No. 2
A geometry-optimized LiCdN structure. Source: Alexandria, functional PBE.

Values from the calculation:
Space-group type ... Fddd, No. 70
Raw total energy ... -0.1334 hartree per atom
Raw formation energy ... 0.089 eV per atom

The structure in CIF format:
```
data_LiCdN
_cell_length_a 6.651
_cell_length_b 6.576
_cell_length_c 5.685
_cell_angle_alpha 65.22
_cell_angle_beta 63.87
_cell_angle_gamma 50.91
_symmetry_space_group_name_H-M 'P 1'
_symmetry_Int_Tables_number 1
loop_
_symmetry_equiv_pos_as_xyz
'x,y,z'
loop_
_atom_site_label
_atom_site_fract_x
_atom_site_fract_y
_atom_site_fract_z
Cd1 0.875 0.875 0.875
N1 0.711 0.289 0.711
N2 0.289 0.711 0.289
Li1 0.620 0.620 0.380
Cd2 0.875 0.875 0.375
Cd3 0.875 0.375 0.875
Li2 0.130 0.130 0.370
N3 0.039 0.461 0.039
Li3 0.370 0.370 0.130
N4 0.461 0.039 0.461
Cd4 0.375 0.875 0.875
Li4 0.380 0.380 0.620
```

***

No. 3
A geometry-optimized LiCePmSi structure. Source: Alexandria, functional PBE.

Values from the calculation:
Space-group type ... F-43m, No. 216
Raw total energy ... -0.1749 hartree per atom
Raw formation energy ... -0.253 eV per atom

The structure in CIF format:
```
data_LiCePmSi
_cell_length_a 5.104
_cell_length_b 5.104
_cell_length_c 5.104
_cell_angle_alpha 60.00
_cell_angle_beta 60.00
_cell_angle_gamma 60.00
_symmetry_space_group_name_H-M 'P 1'
_symmetry_Int_Tables_number 1
loop_
_symmetry_equiv_pos_as_xyz
'x,y,z'
loop_
_atom_site_label
_atom_site_fract_x
_atom_site_fract_y
_atom_site_fract_z
Pm1 0.000 0.000 0.000
Li1 0.250 0.250 0.250
Si1 0.750 0.750 0.750
Ce1 0.500 0.500 0.500
```

***

No. 4
A geometry-optimized EuPuZnCd structure. Source: Alexandria, functional PBE.

Values from the calculation:
Space-group type ... F-43m, No. 216
Formation energy from the elements ... -0.070 eV/atom
Raw total energy ... -0.2488 hartree per atom

The structure in CIF format:
```
data_EuPuZnCd
_cell_length_a 5.341
_cell_length_b 5.341
_cell_length_c 5.341
_cell_angle_alpha 60.00
_cell_angle_beta 60.00
_cell_angle_gamma 60.00
_symmetry_space_group_name_H-M 'P 1'
_symmetry_Int_Tables_number 1
loop_
_symmetry_equiv_pos_as_xyz
'x,y,z'
loop_
_atom_site_label
_atom_site_fract_x
_atom_site_fract_y
_atom_site_fract_z
Cd1 0.750 0.750 0.750
Zn1 0.250 0.250 0.250
Pu1 0.000 0.000 0.000
Eu1 0.500 0.500 0.500
```